Arrangement 1

Below is a relaxed structure of BaNa3Pb3, with properties calculated at the GGA-PBE level.

Properties
The spin magnetization comes out at 0.00 Bohr magnetons per cell. As for the space group: No. 223.

Cell lengths 8.327, 8.327, 8.327 Å; angles 90.00, 90.00, 90.00 degrees
Element x y z (fractional)
Ba (0.000, 0.000, 0.000)
Ba (0.500, 0.500, 0.500)
Na (0.000, 0.250, 0.500)
Na (0.000, 0.750, 0.500)
Na (0.250, 0.500, 0.000)
Na (0.500, 0.000, 0.250)
Na (0.500, 0.000, 0.750)
Na (0.750, 0.500, 0.000)
Pb (0.000, 0.500, 0.250)
Pb (0.000, 0.500, 0.750)
Pb (0.250, 0.000, 0.500)
Pb (0.500, 0.250, 0.000)
Pb (0.500, 0.750, 0.000)
Pb (0.750, 0.000, 0.500)


Arrangement 2

Below is a relaxed structure of BaNa3Pb3, with properties calculated at the GGA-PBE level.

Properties
The spin magnetization comes out at 0.00 Bohr magnetons per cell. As for the space group: No. 176.

Cell lengths 11.348, 11.348, 4.802 Å; angles 90.00, 90.00, 120.00 degrees
Element x y z (fractional)
Ba (0.333, 0.667, 0.250)
Ba (0.667, 0.333, 0.750)
Na (0.070, 0.302, 0.750)
Na (0.232, 0.930, 0.750)
Na (0.302, 0.232, 0.250)
Na (0.698, 0.768, 0.750)
Na (0.768, 0.070, 0.250)
Na (0.930, 0.698, 0.250)
Pb (0.066, 0.598, 0.750)
Pb (0.402, 0.468, 0.750)
Pb (0.468, 0.066, 0.250)
Pb (0.532, 0.934, 0.750)
Pb (0.598, 0.532, 0.250)
Pb (0.934, 0.402, 0.250)


Verdict on stability: arrangement 1 comes out at the bottom.


Arrangement 1

Below is a relaxed structure of Ba2Na2Pb, with properties calculated at the GGA-PBE level.

Properties
The spin magnetization comes out at 0.00 Bohr magnetons per cell. As for the space group: No. 127.

Cell lengths 9.502, 9.502, 5.523 Å; angles 90.00, 90.00, 90.00 degrees
Element x y z (fractional)
Ba (0.164, 0.336, 0.000)
Ba (0.336, 0.836, 0.000)
Ba (0.664, 0.164, 0.000)
Ba (0.836, 0.664, 0.000)
Na (0.140, 0.640, 0.500)
Na (0.360, 0.140, 0.500)
Na (0.640, 0.860, 0.500)
Na (0.860, 0.360, 0.500)
Pb (0.000, 0.000, 0.000)
Pb (0.500, 0.500, 0.000)


Arrangement 2

Below is a relaxed structure of Ba2Na2Pb, with properties calculated at the GGA-PBE level.

Properties
The spin magnetization comes out at 0.00 Bohr magnetons per cell. As for the space group: No. 139.

Cell lengths 11.555, 11.555, 11.555 Å; angles 157.62, 157.62, 31.86 degrees
Element x y z (fractional)
Ba (0.087, 0.087, 0.000)
Ba (0.913, 0.913, 0.000)
Na (0.250, 0.750, 0.500)
Na (0.750, 0.250, 0.500)
Pb (0.500, 0.500, 0.000)


Arrangement 3

Below is a relaxed structure of Ba2Na2Pb, with properties calculated at the GGA-PBE level.

Properties
The spin magnetization comes out at 0.00 Bohr magnetons per cell. As for the space group: No. 127.

Cell lengths 8.391, 8.391, 5.720 Å; angles 90.00, 90.00, 90.00 degrees
Element x y z (fractional)
Ba (0.198, 0.302, 0.000)
Ba (0.302, 0.802, 0.000)
Ba (0.698, 0.198, 0.000)
Ba (0.802, 0.698, 0.000)
Na (0.130, 0.630, 0.500)
Na (0.370, 0.130, 0.500)
Na (0.630, 0.870, 0.500)
Na (0.870, 0.370, 0.500)
Pb (0.000, 0.000, 0.500)
Pb (0.500, 0.500, 0.500)


Verdict on stability: arrangement 1 comes out at the bottom.


Arrangement 1

Below is a relaxed structure of BaNaPb4, with properties calculated at the GGA-PBE level.

Properties
The spin magnetization comes out at 0.00 Bohr magnetons per cell. As for the space group: No. 216.

Cell lengths 6.683, 6.683, 6.683 Å; angles 60.00, 60.00, 60.00 degrees
Element x y z (fractional)
Ba (0.000, 0.000, 0.000)
Na (0.750, 0.750, 0.750)
Pb (0.375, 0.375, 0.375)
Pb (0.375, 0.375, 0.876)
Pb (0.375, 0.876, 0.375)
Pb (0.876, 0.375, 0.375)


Arrangement 2

Below is a relaxed structure of BaNaPb4, with properties calculated at the GGA-PBE level.

Properties
The spin magnetization comes out at 0.00 Bohr magnetons per cell. As for the space group: No. 2.

Cell lengths 6.962, 6.966, 9.281 Å; angles 87.36, 87.29, 71.05 degrees
Element x y z (fractional)
Ba (0.210, 0.210, 0.468)
Ba (0.790, 0.790, 0.532)
Na (0.000, 0.000, 0.000)
Na (0.500, 0.500, 0.000)
Pb (0.046, 0.443, 0.838)
Pb (0.295, 0.695, 0.326)
Pb (0.303, 0.708, 0.676)
Pb (0.443, 0.047, 0.838)
Pb (0.557, 0.953, 0.162)
Pb (0.697, 0.292, 0.324)
Pb (0.705, 0.305, 0.674)
Pb (0.954, 0.557, 0.162)


Arrangement 3

Below is a relaxed structure of BaNaPb4, with properties calculated at the GGA-PBE level.

Properties
The spin magnetization comes out at 0.00 Bohr magnetons per cell. As for the space group: No. 71.

Cell lengths 7.012, 7.012, 7.012 Å; angles 137.95, 111.99, 83.28 degrees
Element x y z (fractional)
Ba (0.000, 0.000, 0.000)
Na (0.500, 0.000, 0.500)
Pb (0.130, 0.336, 0.793)
Pb (0.457, 0.664, 0.793)
Pb (0.543, 0.336, 0.207)
Pb (0.870, 0.664, 0.207)


Verdict on stability: arrangement 2 comes out at the bottom.


Arrangement 1

Below is a relaxed structure of Ba2NaPdPb, with properties calculated at the GGA-PBE level.

Properties
The spin magnetization comes out at 0.00 Bohr magnetons per cell. As for the space group: No. 123.

Cell lengths 6.137, 6.137, 5.329 Å; angles 90.00, 90.00, 90.00 degrees
Element x y z (fractional)
Ba (0.000, 0.500, 0.000)
Ba (0.500, 0.000, 0.000)
Na (0.000, 0.000, 0.500)
Pd (0.000, 0.000, 0.000)
Pb (0.500, 0.500, 0.500)


Arrangement 2

Below is a relaxed structure of Ba2NaPdPb, with properties calculated at the GGA-PBE level.

Properties
The spin magnetization comes out at 0.26 Bohr magnetons per cell. As for the space group: No. 123.

Cell lengths 6.289, 6.289, 5.297 Å; angles 90.00, 90.00, 90.00 degrees
Element x y z (fractional)
Ba (0.000, 0.500, 0.000)
Ba (0.500, 0.000, 0.000)
Na (0.000, 0.000, 0.500)
Pd (0.500, 0.500, 0.000)
Pb (0.500, 0.500, 0.500)


Verdict on stability: arrangement 1 comes out at the bottom.


Arrangement 1

Below is a relaxed structure of Ba7Na2Pd2, with properties calculated at the GGA-PBE level.

Properties
The spin magnetization comes out at 0.00 Bohr magnetons per cell. As for the space group: No. 44.

Cell lengths 11.716, 11.716, 11.716 Å; angles 158.68, 70.21, 114.02 degrees
Element x y z (fractional)
Ba (0.000, 0.000, 0.000)
Ba (0.035, 0.685, 0.351)
Ba (0.320, 0.501, 0.820)
Ba (0.334, 0.685, 0.649)
Ba (0.667, 0.317, 0.350)
Ba (0.681, 0.501, 0.180)
Ba (0.968, 0.317, 0.650)
Na (0.410, 0.910, 0.500)
Na (0.659, 0.659, 0.000)
Pd (0.184, 0.003, 0.181)
Pd (0.821, 0.003, 0.819)


Arrangement 2

Below is a relaxed structure of Ba7Na2Pd2, with properties calculated at the GGA-PBE level.

Properties
The spin magnetization comes out at 0.00 Bohr magnetons per cell. As for the space group: No. 65.

Cell lengths 8.175, 8.175, 8.469 Å; angles 90.00, 90.00, 107.43 degrees
Element x y z (fractional)
Ba (0.000, 0.000, 0.000)
Ba (0.000, 0.500, 0.242)
Ba (0.000, 0.500, 0.758)
Ba (0.500, 0.000, 0.242)
Ba (0.500, 0.000, 0.758)
Ba (0.500, 0.500, 0.227)
Ba (0.500, 0.500, 0.773)
Na (0.164, 0.164, 0.500)
Na (0.836, 0.836, 0.500)
Pd (0.288, 0.712, 0.000)
Pd (0.712, 0.288, 0.000)


Verdict on stability: arrangement 2 comes out at the bottom.


Arrangement 1

Below is a relaxed structure of Ba3NaPd, with properties calculated at the GGA-PBE level.

Properties
The spin magnetization comes out at 0.00 Bohr magnetons per cell. As for the space group: No. 12.

Cell lengths 8.003, 8.003, 10.920 Å; angles 109.24, 109.24, 48.21 degrees
Element x y z (fractional)
Ba (0.103, 0.103, 0.205)
Ba (0.154, 0.154, 0.656)
Ba (0.363, 0.363, 0.070)
Ba (0.637, 0.637, 0.930)
Ba (0.846, 0.846, 0.344)
Ba (0.897, 0.897, 0.795)
Na (0.407, 0.407, 0.569)
Na (0.593, 0.593, 0.431)
Pd (0.128, 0.128, 0.927)
Pd (0.872, 0.872, 0.073)


Arrangement 2

Below is a relaxed structure of Ba3NaPd, with properties calculated at the GGA-PBE level.

Properties
The spin magnetization comes out at 0.00 Bohr magnetons per cell. As for the space group: No. 221.

Cell lengths 6.357, 6.357, 6.357 Å; angles 90.00, 90.00, 90.00 degrees
Element x y z (fractional)
Ba (0.000, 0.000, 0.500)
Ba (0.000, 0.500, 0.000)
Ba (0.500, 0.000, 0.000)
Na (0.500, 0.500, 0.500)
Pd (0.000, 0.000, 0.000)


Verdict on stability: arrangement 1 comes out at the bottom.


Arrangement 1

Below is a relaxed structure of Ba5NaPd, with properties calculated at the GGA-PBE level.

Properties
The spin magnetization comes out at 0.00 Bohr magnetons per cell. As for the space group: No. 15.

Cell lengths 8.218, 8.218, 11.482 Å; angles 96.68, 96.68, 95.56 degrees
Element x y z (fractional)
Ba (0.108, 0.660, 0.380)
Ba (0.116, 0.884, 0.750)
Ba (0.198, 0.345, 0.993)
Ba (0.340, 0.892, 0.120)
Ba (0.345, 0.198, 0.493)
Ba (0.655, 0.802, 0.507)
Ba (0.660, 0.108, 0.880)
Ba (0.802, 0.655, 0.007)
Ba (0.884, 0.116, 0.250)
Ba (0.892, 0.340, 0.620)
Na (0.438, 0.562, 0.750)
Na (0.562, 0.438, 0.250)
Pd (0.000, 0.000, 0.000)
Pd (0.000, 0.000, 0.500)


Arrangement 2

Below is a relaxed structure of Ba5NaPd, with properties calculated at the GGA-PBE level.

Properties
The spin magnetization comes out at 0.00 Bohr magnetons per cell. As for the space group: No. 15.

Cell lengths 8.430, 8.430, 13.356 Å; angles 110.04, 110.04, 60.47 degrees
Element x y z (fractional)
Ba (0.023, 0.377, 0.624)
Ba (0.035, 0.965, 0.750)
Ba (0.193, 0.565, 0.967)
Ba (0.377, 0.023, 0.124)
Ba (0.435, 0.807, 0.533)
Ba (0.565, 0.193, 0.467)
Ba (0.623, 0.977, 0.876)
Ba (0.807, 0.435, 0.033)
Ba (0.965, 0.035, 0.250)
Ba (0.977, 0.623, 0.376)
Na (0.488, 0.512, 0.250)
Na (0.512, 0.488, 0.750)
Pd (0.000, 0.000, 0.000)
Pd (0.000, 0.000, 0.500)


Verdict on stability: arrangement 2 comes out at the bottom.


Arrangement 1

Below is a relaxed structure of Ba6NaPd2, with properties calculated at the GGA-PBE level.

Properties
The spin magnetization comes out at 0.00 Bohr magnetons per cell. As for the space group: No. 12.

Cell lengths 8.300, 8.300, 10.986 Å; angles 114.28, 114.28, 45.04 degrees
Element x y z (fractional)
Ba (0.012, 0.012, 0.189)
Ba (0.305, 0.305, 0.918)
Ba (0.329, 0.329, 0.407)
Ba (0.671, 0.671, 0.593)
Ba (0.695, 0.695, 0.082)
Ba (0.988, 0.988, 0.811)
Na (0.000, 0.000, 0.500)
Pd (0.178, 0.178, 0.095)
Pd (0.822, 0.822, 0.905)


Arrangement 2

Below is a relaxed structure of Ba6NaPd2, with properties calculated at the GGA-PBE level.

Properties
The spin magnetization comes out at 0.00 Bohr magnetons per cell. As for the space group: No. 146.

Cell lengths 8.966, 8.966, 8.966 Å; angles 55.79, 55.79, 55.79 degrees
Element x y z (fractional)
Ba (0.017, 0.328, 0.655)
Ba (0.083, 0.925, 0.480)
Ba (0.328, 0.655, 0.017)
Ba (0.480, 0.083, 0.925)
Ba (0.655, 0.017, 0.328)
Ba (0.925, 0.480, 0.083)
Na (0.534, 0.534, 0.534)
Pd (0.070, 0.070, 0.070)
Pd (0.256, 0.256, 0.256)


Verdict on stability: arrangement 1 comes out at the bottom.